Record 1
VASP calculation (PBE-GGA) on an optimized crystal structure of TcAs2Au.

Unit cell a=2.8943 b=2.8943 c=9.9171 alpha=90.00 beta=90.00 gamma=115.01
Last column: nearest neighbours and their distance in Å.
Fractional coordinates of all 4 atoms:
As: 0.0000 0.0000 0.9460  2 Tc 2.43
As: 0.5000 0.5000 0.2831  2 Au 2.76, 4 As 2.89
Tc: 0.5000 0.5000 0.7575  2 As 2.43
Au: 0.0000 0.0000 0.5134  2 As 2.76, 2 Tc 2.88, 4 Au 2.89

=====

Record 2
VASP calculation (PBE-GGA) on an optimized crystal structure of TcAs2Au.

Unit cell a=5.1644 b=5.1644 c=4.5460 alpha=78.46 beta=78.46 gamma=36.49
Last column: nearest neighbours and their distance in Å.
Fractional coordinates of all 4 atoms:
As: 0.9798 0.9798 0.0710  2 Tc 2.56, 4 Au 2.76-2.83
As: 0.7455 0.7455 0.6551  2 Tc 2.52, 1 Au 2.55
Tc: 0.2743 0.2743 0.2217  4 As 2.52-2.56
Au: 0.5003 0.5003 0.5522  5 As 2.55-2.83

=====

Record 3
VASP calculation (PBE-GGA) on an optimized crystal structure of TcAsAu4.

Unit cell a=5.4964 b=5.4964 c=5.4964 alpha=60.00 beta=60.00 gamma=60.00
Last column: nearest neighbours and their distance in Å.
Fractional coordinates of all 6 atoms:
Tc: 0.7500 0.7500 0.7500  12 Au 3.22, 4 As 3.37
Au: 0.8745 0.3752 0.3752  6 Au 2.74-2.75
Au: 0.3752 0.8745 0.3752  6 Au 2.74-2.75
Au: 0.3752 0.3752 0.8745  6 Au 2.74-2.75
Au: 0.3752 0.3752 0.3752  6 Au 2.74-2.75
As: 0.0000 0.0000 0.0000  12 Au 3.22, 4 Tc 3.37

=====

Record 4
VASP calculation (PBE-GGA) on an optimized crystal structure of TcAs2Au.

Unit cell a=3.2710 b=5.0381 c=4.1914 alpha=90.00 beta=90.00 gamma=90.00
Last column: nearest neighbours and their distance in Å.
Fractional coordinates of all 4 atoms:
Tc: 0.0000 0.5000 0.5000  4 As 2.66
As: 0.0000 0.0000 0.0000  4 Au 2.66
As: 0.5000 0.5000 0.0000  4 Tc 2.66
Au: 0.5000 0.0000 0.5000  4 As 2.66

=====

Record 5
VASP calculation (PBE-GGA) on an optimized crystal structure of TcAsAu.

Unit cell a=5.5137 b=5.5137 c=5.5137 alpha=146.71 beta=146.71 gamma=47.79
Last column: nearest neighbours and their distance in Å.
Fractional coordinates of all 3 atoms:
As: 0.0247 0.0247 0.0000  4 Tc 2.53
Tc: 0.6420 0.6420 0.0000  4 As 2.53
Au: 0.3333 0.3333 0.0000  5 Tc 2.95-3.11, 5 As 2.95-3.11, 4 Au 3.16

=====

Record 6
VASP calculation (PBE-GGA) on an optimized crystal structure of TcAs2Au.

Unit cell a=4.7988 b=4.7988 c=4.7988 alpha=127.80 beta=127.80 gamma=76.95
Last column: nearest neighbours and their distance in Å.
Fractional coordinates of all 4 atoms:
As: 0.0000 0.0000 0.0000  4 Au 2.83, 4 Tc 2.83, 4 As 2.99
As: 0.5000 0.5000 0.0000  4 Tc 2.83, 4 Au 2.83, 4 As 2.99
Tc: 0.7500 0.2500 0.5000  8 As 2.83, 4 Au 2.99
Au: 0.2500 0.7500 0.5000  8 As 2.83, 4 Tc 2.99

=====

Record 7
VASP calculation (PBE-GGA) on an optimized crystal structure of TcAs2Au.

Unit cell a=3.5853 b=3.5853 c=5.5047 alpha=90.00 beta=90.00 gamma=90.00
Last column: nearest neighbours and their distance in Å.
Fractional coordinates of all 4 atoms:
As: 0.0000 0.0000 0.9361  2 Au 2.61-2.89, 4 Tc 2.68
As: 0.5000 0.5000 0.3232  1 Tc 2.51, 4 Au 2.65
Tc: 0.5000 0.5000 0.7790  5 As 2.51-2.68
Au: 0.0000 0.0000 0.4617  6 As 2.61-2.89

=====

Record 8
VASP calculation (PBE-GGA) on an optimized crystal structure of TcAs2Au.

Unit cell a=8.2246 b=8.2246 c=8.2246 alpha=22.20 beta=22.20 gamma=22.20
Last column: nearest neighbours and their distance in Å.
Fractional coordinates of all 4 atoms:
Tc: 0.7500 0.7500 0.7500  6 As 2.55
Au: 0.2500 0.2500 0.2500  6 As 2.89, 6 Au 3.17
As: 0.4903 0.4903 0.4903  3 Tc 2.55
As: 0.0097 0.0097 0.0097  3 Tc 2.55

=====

Record 9
VASP calculation (PBE-GGA) on an optimized crystal structure of TcAs2Au.

Unit cell a=4.5883 b=4.5883 c=4.5883 alpha=60.00 beta=60.00 gamma=60.00
Last column: nearest neighbours and their distance in Å.
Fractional coordinates of all 4 atoms:
Tc: 0.0000 0.0000 0.0000  8 As 2.81
As: 0.7500 0.7500 0.7500  4 Au 2.81, 4 Tc 2.81
As: 0.2500 0.2500 0.2500  4 Au 2.81, 4 Tc 2.81
Au: 0.5000 0.5000 0.5000  8 As 2.81

=====

Record 10
VASP calculation (PBE-GGA) on an optimized crystal structure of TcAsAu.

Unit cell a=2.9641 b=2.9641 c=6.9211 alpha=90.00 beta=90.00 gamma=120.00
Last column: nearest neighbours and their distance in Å.
Fractional coordinates of all 3 atoms:
Tc: 0.3333 0.6667 0.6943  3 As 2.47
As: 0.0000 0.0000 0.9526  3 Tc 2.47
Au: 0.6667 0.3333 0.3531  3 Tc 2.92, 6 Au 2.96, 3 As 3.26

=====

Record 11
VASP calculation (PBE-GGA) on an optimized crystal structure of TcAsAu.

Unit cell a=7.7958 b=7.5780 c=2.8526 alpha=83.64 beta=75.04 gamma=21.32
Last column: nearest neighbours and their distance in Å.
Fractional coordinates of all 3 atoms:
As: 0.9723 0.9723 0.0277  2 Tc 2.44
Tc: 0.3455 0.3455 0.6545  2 As 2.44
Au: 0.6822 0.6822 0.3178  6 Au 2.85-3.10, 2 Tc 2.88

=====

Record 12
VASP calculation (PBE-GGA) on an optimized crystal structure of TcAs2Au.

Unit cell a=4.4986 b=4.4986 c=5.2565 alpha=81.57 beta=81.57 gamma=41.08
Last column: nearest neighbours and their distance in Å.
Fractional coordinates of all 4 atoms:
As: 0.9746 0.9746 0.0398  3 Tc 2.58-2.72, 1 Au 2.61, 2 As 2.80
As: 0.5254 0.5254 0.4602  3 Tc 2.58-2.72, 1 Au 2.61, 2 As 2.80
Tc: 0.2500 0.2500 0.2500  6 As 2.58-2.72
Au: 0.7500 0.7500 0.7500  2 As 2.61

=====

no.,E_form (eV per atom),calculated density (g/cm3)
1,0.34,9.81
2,0.17,10.48
3,0.59,13.59
4,0.49,10.69
5,0.20,12.21
6,0.37,11.03
7,0.20,10.44
8,0.03,10.61
9,0.42,10.81
10,0.16,11.66
11,0.33,11.16
12,0.17,10.70